A relaxed Pr2NdPd crystal, computed with PBE.

Cell lengths 3.9529, 3.9529, 28.9553 Å; angles 90.00, 90.00, 120.00 degrees
Space group R3m (No. 160, hexagonal axes)
One atom of each set of equivalent atoms:
Pr (0.0000, 0.0000, 0.0000) [3 per cell]
Pr (0.0000, 0.0000, 0.2052) [3 per cell]
Nd (0.0000, 0.0000, 0.7693) [3 per cell]
Pd (0.0000, 0.0000, 0.6027) [3 per cell]

D(E_F) = 4.62 states/eV/f.u.
Distance to the lowest polymorph of the same formula = 3.437 kcal/mol of atoms
Formation energy from the elements = -24 kJ per mole of atoms

A relaxed NdScGa2Rh2 crystal, computed with PBE.

Cell lengths 4.3786, 4.3786, 6.9706 Å; angles 90.00, 90.00, 120.00 degrees
Space group P-3m1 (No. 164)
One atom of each set of equivalent atoms:
Nd (0.0000, 0.0000, 0.0000) [1 per cell]
Sc (0.0000, 0.0000, 0.5000) [1 per cell]
Ga (0.3333, 0.6667, 0.2704) [2 per cell]
Rh (0.3333, 0.6667, 0.6478) [2 per cell]

D(E_F) = 3.88 states/eV/f.u.
Formation energy from the elements = -82 kJ per mole of atoms

A relaxed LaBeGe crystal, computed with PBE.

Cell lengths 4.034, 4.412, 7.076 Å; angles 90.00, 90.00, 90.00 degrees
Space group Pmmm (No. 47)
One atom of each set of equivalent atoms:
La (0.000, 0.000, 0.000) [1 per cell]
La (0.500, 0.000, 0.500) [1 per cell]
Be (0.000, 0.500, 0.341) [2 per cell]
Ge (0.500, 0.500, 0.181) [2 per cell]

D(E_F) = 1.82 states/eV/f.u.
Formation energy from the elements = -52 kJ per mole of atoms

A relaxed Ir16Ru6Rh7 crystal, computed with PBE.

Cell lengths 12.215, 12.215, 12.215 Å; angles 90.00, 90.00, 90.00 degrees
Space group Fm-3m (No. 225)
One atom of each set of equivalent atoms:
Ir (0.122, 0.122, 0.122) [32 per cell]
Ir (0.156, 0.156, 0.344) [32 per cell]
Ru (0.000, 0.000, 0.348) [24 per cell]
Rh (0.000, 0.000, 0.000) [4 per cell]
Rh (0.000, 0.250, 0.250) [24 per cell]

D(E_F) = 39.70 states/eV/f.u.
Formation energy from the elements = 51 kJ per mole of atoms

The lowest D(E_F) belongs to which entry? LaBeGe

What is the D(E_F) in the fourth record? 39.70 states/eV/f.u.